Record 1
## Sb2AsRh (PBE)

Data for crystalline Sb2AsRh at its relaxed geometry.

Results
The calculation puts the total energy at -4.786 eV per atom. Its formation energy from raw total energies is 0.275 eV/atom. As for the space-group type: I-4m2 (119).

Structure (POSCAR):
```
Sb2AsRh
1.0
-2.2772 2.2772 4.0256
2.2772 -2.2772 4.0256
2.2772 2.2772 -4.0256
Sb As Rh
2 1 1
Cartesian
0.0000 0.0000 0.0000
0.0000 2.2772 2.0128
2.2772 0.0000 2.0128
0.0000 0.0000 4.0256
```

=====

Record 2
## CsTl2GaF6 (PBE)

Data for crystalline CsTl2GaF6 at its relaxed geometry.

Results
The calculation puts the total energy at -4.364 eV per atom. Its formation energy from raw total energies is -2.380 eV/atom. As for the space-group type: P2_1/c (14).

Structure (POSCAR):
```
CsTl2GaF6
1.0
6.1374 0.0000 0.0000
0.0000 7.1426 0.0000
-6.1289 0.0000 9.3358
Cs Tl Ga F
2 4 2 12
Cartesian
0.0000 0.0000 0.0000
-3.0645 3.5713 4.6679
-3.0084 0.2169 6.8021
0.0561 3.3544 2.1342
-0.0477 3.7882 7.2016
3.0168 6.9257 2.5337
0.0042 0.0000 4.6679
3.0687 3.5713 0.0000
-0.4988 0.6790 2.9205
-3.5632 2.8923 7.5883
1.3892 4.5624 0.0669
-1.6753 6.1516 4.7348
-0.9058 1.4893 5.5076
2.1587 2.0820 0.8397
-2.1503 5.0606 8.4960
0.9142 5.6533 3.8282
1.6838 0.9911 4.6010
-1.3807 2.5803 9.2688
3.5717 4.2504 1.7474
0.5072 6.4636 6.4153
```

=====

Record 3
## LiIn3Hg (PBE)

Data for crystalline LiIn3Hg at its relaxed geometry.

Results
The calculation puts the total energy at -2.160 eV per atom. As for the space-group type: P2_1/m (11). Its formation energy is -0.07 eV/atom. The value obtained for the relative energy among the computed polymorphs is 35 meV per atom.

Structure (POSCAR):
```
LiIn3Hg
1.0
3.2952 0.0000 0.0000
0.0000 9.7700 0.0000
-1.3769 0.0000 8.1246
Li In Hg
2 6 2
Cartesian
0.1006 2.4425 3.5210
1.8177 7.3275 4.6036
-0.0101 7.3275 1.4522
0.1962 0.0525 5.4460
0.1962 4.8325 5.4460
1.7221 4.9375 2.6786
1.7221 9.7174 2.6786
1.9284 2.4425 6.6724
0.1686 7.3275 7.0290
1.7497 2.4425 1.0956
```

=====

Record 4
## BaSc2Ni (PBE)

Data for crystalline BaSc2Ni at its relaxed geometry.

Results
The calculation puts the total energy at -4.679 eV per atom. As for the space-group type: P4/mmm (123). Its formation energy is 0.41 eV/atom. The value obtained for the relative energy among the computed polymorphs is 433 meV per atom.

Structure (POSCAR):
```
BaSc2Ni
1.0
4.3569 0.0000 0.0000
0.0000 4.3569 0.0000
0.0000 0.0000 5.3373
Ba Sc Ni
1 2 1
Cartesian
0.0000 0.0000 0.0000
0.0000 2.1785 2.6687
2.1785 0.0000 2.6687
2.1785 2.1785 0.0000
```

=====

Record 5
## Cd2AgIr (PBE)

Data for crystalline Cd2AgIr at its relaxed geometry.

Results
The calculation puts the total energy at -3.290 eV per atom. As for the space-group type: P4/mmm (123). Its formation energy is 0.10 eV/atom.

Structure (POSCAR):
```
Cd2AgIr
1.0
2.9970 0.0000 0.0000
0.0000 2.9970 0.0000
0.0000 0.0000 8.0766
Cd Ag Ir
2 1 1
Cartesian
0.0000 0.0000 1.8927
0.0000 0.0000 6.1839
1.4985 1.4985 4.0383
1.4985 1.4985 0.0000
```

=====

Record 6
## BAsHAu2 (PBE)

Data for crystalline BAsHAu2 at its relaxed geometry.

Results
The calculation puts the total energy at -3.257 eV per atom. As for the space-group type: P4/mmm (123).

Structure (POSCAR):
```
BAsHAu2
1.0
4.9901 0.0000 0.0000
0.0000 4.9901 0.0000
0.0000 0.0000 3.2902
B As H Au
1 1 1 2
Cartesian
0.0000 0.0000 0.0000
2.4950 2.4950 1.6451
2.4950 2.4950 0.0000
0.0000 2.4950 1.6451
2.4950 0.0000 1.6451
```

=====

Record 7
## Ti5FeCo2Rh2 (PBE)

Data for crystalline Ti5FeCo2Rh2 at its relaxed geometry.

Results
The calculation puts the total energy at -7.987 eV per atom. As for the space-group type: P4/mbm (127). Its formation energy is -0.30 eV/atom.

Structure (POSCAR):
```
Ti5FeCo2Rh2
1.0
9.8260 0.0000 0.0000
0.0000 9.8260 0.0000
0.0000 0.0000 2.9733
Ti Fe Co Rh
10 2 4 4
Cartesian
0.0000 4.9130 0.0000
0.8270 1.8568 0.0000
1.8568 8.9989 0.0000
3.0562 4.0859 0.0000
4.0859 6.7698 0.0000
4.9130 0.0000 0.0000
5.7400 3.0562 0.0000
6.7698 5.7400 0.0000
7.9692 0.8270 0.0000
8.9989 7.9692 0.0000
0.0000 0.0000 1.4867
4.9130 4.9130 1.4867
1.2878 3.6252 1.4867
3.6252 8.5382 1.4867
6.2008 1.2878 1.4867
8.5382 6.2008 1.4867
1.6469 6.5599 1.4867
3.2661 1.6469 1.4867
6.5599 8.1791 1.4867
8.1791 3.2661 1.4867
```

=====

Record 8
## Na2SiP (PBE)

Data for crystalline Na2SiP at its relaxed geometry.

Results
The calculation puts the total energy at -3.077 eV per atom. Its formation energy from raw total energies is 0.291 eV/atom. As for the space-group type: I-42d (122). The value obtained for the relative energy among the computed polymorphs is 0 meV per atom.

Structure (POSCAR):
```
Na2SiP
1.0
-1.9793 1.9793 10.1223
1.9793 -1.9793 10.1223
1.9793 1.9793 -10.1223
Na Si P
4 2 2
Cartesian
2.9689 0.9543 -2.5306
0.9543 0.9896 2.5306
-0.9896 1.0250 7.5917
1.0250 0.9896 12.6528
1.9793 0.0000 5.0611
0.0000 0.0000 10.1223
0.0000 0.0000 0.0000
0.0000 1.9793 5.0611
```